No. 1
This record from Alexandria describes a geometry-optimized DyScP2 structure. The functional is GGA-PBE.

The size of the total moment is 0.000 μB/f.u. The calculation puts the energy above the most stable polymorph in this dataset at 0.000 eV per formula unit. As for the mass density: 5.40 Mg/m³. The formation energy is -1537 meV/atom.

abc: 3.8881 3.8881 6.7130
angles: 106.87 106.87 60.04
Last column: nearest neighbours and their distance in Å.
Element x y z (fractional)
Dy 0.0000 0.0000 0.0000  6 P 2.80
Sc 0.5000 0.5000 0.5000  6 P 2.69
P 0.2449 0.2449 0.7348  3 Sc 2.69, 3 Dy 2.80
P 0.7551 0.7551 0.2652  3 Sc 2.69, 3 Dy 2.80

No. 2
This record from Alexandria describes a geometry-optimized DySc3P3 structure. The functional is GGA-PBE.

The size of the total moment is 0.000 μB/f.u. As for the mass density: 4.90 Mg/m³. The formation energy is -1301 meV/atom.

abc: 8.0870 8.0870 8.0870
angles: 90.00 90.00 90.00
Last column: nearest neighbours and their distance in Å.
Element x y z (fractional)
Dy 0.0668 0.4332 0.5668  6 P 2.71-2.94
Dy 0.4332 0.5668 0.0668  6 P 2.71-2.94
Dy 0.5668 0.0668 0.4332  6 P 2.71-2.94
Dy 0.9332 0.9332 0.9332  6 P 2.71-2.94
Sc 0.0675 0.5675 0.9325  3 P 2.60
Sc 0.1812 0.8188 0.3188  6 P 2.68-2.90
Sc 0.1856 0.1856 0.1856  6 P 2.65-2.95
Sc 0.3144 0.8144 0.6856  6 P 2.65-2.95
Sc 0.3188 0.1812 0.8188  6 P 2.68-2.90
Sc 0.4325 0.4325 0.4325  3 P 2.60
Sc 0.5675 0.9325 0.0675  3 P 2.60
Sc 0.6812 0.6812 0.6812  6 P 2.68-2.90
Sc 0.6856 0.3144 0.8144  6 P 2.65-2.95
Sc 0.8144 0.6856 0.3144  6 P 2.65-2.95
Sc 0.8188 0.3188 0.1812  6 P 2.68-2.90
Sc 0.9325 0.0675 0.5675  3 P 2.60
P 0.0022 0.2571 0.8788  4 Sc 2.60-2.90, 1 Dy 2.71
P 0.1212 0.5022 0.2429  4 Sc 2.60-2.90, 1 Dy 2.71
P 0.2429 0.1212 0.5022  4 Sc 2.60-2.90, 1 Dy 2.71
P 0.2571 0.8788 0.0022  4 Sc 2.60-2.90, 1 Dy 2.71
P 0.3788 0.4978 0.7429  4 Sc 2.60-2.90, 1 Dy 2.71
P 0.4978 0.7429 0.3788  4 Sc 2.60-2.90, 1 Dy 2.71
P 0.5022 0.2429 0.1212  4 Sc 2.60-2.90, 1 Dy 2.71
P 0.6212 0.9978 0.7571  4 Sc 2.60-2.90, 1 Dy 2.71
P 0.7429 0.3788 0.4978  4 Sc 2.60-2.90, 1 Dy 2.71
P 0.7571 0.6212 0.9978  4 Sc 2.60-2.90, 1 Dy 2.71
P 0.8788 0.0022 0.2571  4 Sc 2.60-2.90, 1 Dy 2.71
P 0.9978 0.7571 0.6212  4 Sc 2.60-2.90, 1 Dy 2.71

Which formula does entry 2 have?
DySc3P3

Look up the mass density of the second one.
4.90 Mg/m³

Which of these has the highest mass density?
DyScP2